1.
Compound: LaPrTlGa
Source: the Alexandria database
Functional: GGA-PBE
Structure: optimized geometry

Results
Space-group type: P4mm, No. 99
Formation energy (eV/f.u.): -1.926
ρ (g/cm³): 8.0
Calculated total energy (eV per atom): -4.2565

extended XYZ file:
```
4
Lattice="3.801 0.000 0.000 0.000 3.801 0.000 0.000 0.000 7.939" Properties=species:S:1:pos:R:3 pbc="T T T"
La 0.000 0.000 0.000
Pr 0.000 0.000 3.693
Tl 1.900 1.900 5.773
Ga 1.900 1.900 1.883
```

=====

2.
Compound: LaPrTlGa
Source: the Alexandria database
Functional: GGA-PBE
Structure: optimized geometry

Results
Space-group type: F-43m, No. 216
Formation energy (eV/f.u.): -1.808
ρ (g/cm³): 8.0
Calculated total energy (eV per atom): -4.2269

extended XYZ file:
```
4
Lattice="0.000 3.867 3.867 3.867 0.000 3.867 3.867 3.867 0.000" Properties=species:S:1:pos:R:3 pbc="T T T"
La 0.000 0.000 0.000
Pr 3.867 3.867 3.867
Tl 5.800 5.800 5.800
Ga 1.933 1.933 1.933
```

=====

Number 1 is which compound?
LaPrTlGa

=====

Which formula does entry 2 have?
LaPrTlGa

=====

Repeat the second record exactly.
Compound: LaPrTlGa
Source: the Alexandria database
Functional: GGA-PBE
Structure: optimized geometry

Results
Space-group type: F-43m, No. 216
Formation energy (eV/f.u.): -1.808
ρ (g/cm³): 8.0
Calculated total energy (eV per atom): -4.2269

extended XYZ file:
```
4
Lattice="0.000 3.867 3.867 3.867 0.000 3.867 3.867 3.867 0.000" Properties=species:S:1:pos:R:3 pbc="T T T"
La 0.000 0.000 0.000
Pr 3.867 3.867 3.867
Tl 5.800 5.800 5.800
Ga 1.933 1.933 1.933
```